No. 1
The following is a DFT calculation (PBE-GGA) of a geometry-optimized CdCoPt structure.

Cell: 2.8436 2.8436 6.7121 Å, 90.00 90.00 120.00°
Space group P3m1 (No. 156)
Inequivalent atoms, fractional coordinates:
Cd 0.0000 0.0000 0.0000
Co 0.6667 0.3333 0.3366
Pt 0.3333 0.6667 0.6351

## Properties
**Magnetic moment**: 1.93 μB per formula unit
**E above lowest polymorph**: 160 meV/atom
**Calculated formation energy**: 102 meV/atom
**Fermi-level density of states**: 1.182 states/eV/atom
**Electronic total energy**: -4.59 eV per atom

***

No. 2
The following is a DFT calculation (PBE-GGA) of a geometry-optimized NbCoOs structure.

Cell: 4.2745 4.2745 5.3533 Å, 90.00 90.00 120.00°
Space group P6_3/mmc (No. 194)
Inequivalent atoms, fractional coordinates:
Nb 0.3333 0.6667 0.2500
Co 0.3333 0.6667 0.7500
Os 0.0000 0.0000 0.0000

## Properties
**Magnetic moment**: 0.00 μB per formula unit
**E above lowest polymorph**: 0 meV/atom
**Calculated formation energy**: -209 meV/atom
**Fermi-level density of states**: 0.690 states/eV/atom
**Electronic total energy**: -9.68 eV per atom

***

No. 3
The following is a DFT calculation (PBE-GGA) of a geometry-optimized Mn2Zn2Pb structure.

Cell: 7.642 7.642 2.999 Å, 90.00 90.00 90.00°
Space group P4/mbm (No. 127)
Inequivalent atoms, fractional coordinates:
Mn 0.125 0.375 0.000
Zn 0.168 0.668 0.500
Pb 0.000 0.000 0.000

## Properties
**Magnetic moment**: 6.86 μB per formula unit
**Calculated formation energy**: 304 meV/atom
**Fermi-level density of states**: 0.814 states/eV/atom
**Electronic total energy**: -4.62 eV per atom

***

No. 4
The following is a DFT calculation (PBE-GGA) of a geometry-optimized TaSeBrN2 structure.

Cell: 3.985 3.985 4.841 Å, 90.00 90.00 90.00°
Space group P4/mmm (No. 123)
Inequivalent atoms, fractional coordinates:
Ta 0.000 0.000 0.000
Se 0.500 0.500 0.000
Br 0.500 0.500 0.500
N 0.000 0.500 0.500

## Properties
**Magnetic moment**: 0.00 μB per formula unit
**E above lowest polymorph**: 1906 meV/atom
**Fermi-level density of states**: 0.807 states/eV/atom
**Electronic total energy**: -4.50 eV per atom
**Formation energy (no corrections)**: 2.233 eV/atom

***

No. 5
The following is a DFT calculation (PBE-GGA) of a geometry-optimized KLi2Ir structure.

Cell: 9.015 2.684 6.704 Å, 90.00 93.13 90.00°
Space group C2/m (No. 12)
Inequivalent atoms, fractional coordinates:
K 0.000 0.000 0.000
Li 0.236 0.000 0.660
Ir 0.000 0.500 0.500

## Properties
**Magnetic moment**: 0.00 μB per formula unit
**E above lowest polymorph**: 17 meV/atom
**Calculated formation energy**: 237 meV/atom
**Fermi-level density of states**: 0.453 states/eV/atom
**Electronic total energy**: -3.21 eV per atom

***

No. 6
The following is a DFT calculation (PBE-GGA) of a geometry-optimized HfGeBiIr2N structure.

Cell: 3.6571 3.6571 9.6725 Å, 90.00 90.00 120.00°
Space group P3m1 (No. 156)
Inequivalent atoms, fractional coordinates:
Hf 0.0000 0.0000 0.0000
Ge 0.0000 0.0000 0.6613
Bi 0.0000 0.0000 0.3276
Ir 0.6667 0.3333 0.5140
Ir 0.6667 0.3333 0.8011
N 0.6667 0.3333 0.0212

## Properties
**Magnetic moment**: 0.00 μB per formula unit
**E above lowest polymorph**: 20 meV/atom
**Fermi-level density of states**: 0.620 states/eV/atom
**Electronic total energy**: -7.89 eV per atom
**Formation energy (no corrections)**: -0.474 eV/atom

***

No. 7
The following is a DFT calculation (PBE-GGA) of a geometry-optimized CaGeIr2S structure.

Cell: 4.453 4.453 5.067 Å, 90.00 90.00 90.00°
Space group P4/mmm (No. 123)
Inequivalent atoms, fractional coordinates:
Ca 0.000 0.000 0.000
Ge 0.500 0.500 0.000
Ir 0.000 0.500 0.500
S 0.000 0.000 0.500

## Properties
**Magnetic moment**: 0.00 μB per formula unit
**Fermi-level density of states**: 1.091 states/eV/atom
**Electronic total energy**: -5.48 eV per atom
**Formation energy (no corrections)**: 0.215 eV/atom

***

No. 8
The following is a DFT calculation (PBE-GGA) of a geometry-optimized La2Pr8Ho structure.

Cell: 11.493 7.559 9.607 Å, 90.00 106.89 90.00°
Space group C2/m (No. 12)
Inequivalent atoms, fractional coordinates:
La 0.140 0.000 0.134
Pr 0.066 0.285 0.769
Pr 0.183 0.500 0.129
Pr 0.193 0.500 0.497
Ho 0.000 0.000 0.500

## Properties
**Magnetic moment**: 0.00 μB per formula unit
**E above lowest polymorph**: 0 meV/atom
**Calculated formation energy**: 113 meV/atom
**Fermi-level density of states**: 1.662 states/eV/atom
**Electronic total energy**: -4.67 eV per atom

***

No. 9
The following is a DFT calculation (PBE-GGA) of a geometry-optimized CaInCo structure.

Cell: 3.393 3.393 10.996 Å, 90.00 90.00 90.00°
Space group I4mm (No. 107)
Inequivalent atoms, fractional coordinates:
Ca 0.000 0.000 0.000
In 0.000 0.000 0.717
Co 0.000 0.000 0.327

## Properties
**Magnetic moment**: 0.79 μB per formula unit
**Calculated formation energy**: 30 meV/atom
**Fermi-level density of states**: 0.854 states/eV/atom
**Electronic total energy**: -3.92 eV per atom

***

No. 10
The following is a DFT calculation (PBE-GGA) of a geometry-optimized Co2CuNi structure.

Cell: 6.439 6.439 4.786 Å, 90.00 90.00 90.00°
Space group I-42d (No. 122)
Inequivalent atoms, fractional coordinates:
Co 0.236 0.250 0.125
Cu 0.000 0.000 0.500
Ni 0.000 0.000 0.000

## Properties
**Magnetic moment**: 4.42 μB per formula unit
**E above lowest polymorph**: 533 meV/atom
**Calculated formation energy**: 553 meV/atom
**Fermi-level density of states**: 1.749 states/eV/atom
**Electronic total energy**: -5.47 eV per atom

***

No. 11
The following is a DFT calculation (PBE-GGA) of a geometry-optimized HoErInAu structure.

Cell: 7.338 7.338 7.338 Å, 90.00 90.00 90.00°
Space group F-43m (No. 216)
Inequivalent atoms, fractional coordinates:
Ho 0.000 0.000 0.000
Er 0.000 0.000 0.500
In 0.250 0.250 0.250
Au 0.250 0.250 0.750

## Properties
**Magnetic moment**: 0.00 μB per formula unit
**E above lowest polymorph**: 52 meV/atom
**Calculated formation energy**: -620 meV/atom
**Fermi-level density of states**: 0.571 states/eV/atom
**Electronic total energy**: -4.41 eV per atom

***

No. 12
The following is a DFT calculation (PBE-GGA) of a geometry-optimized Ca2FeBi structure.

Cell: 10.420 10.420 4.997 Å, 90.00 90.00 90.00°
Space group I-42d (No. 122)
Inequivalent atoms, fractional coordinates:
Ca 0.083 0.750 0.125
Fe 0.000 0.000 0.000
Bi 0.000 0.000 0.500

## Properties
**Magnetic moment**: 1.02 μB per formula unit
**Calculated formation energy**: 177 meV/atom
**Fermi-level density of states**: 0.966 states/eV/atom
**Electronic total energy**: -3.91 eV per atom

***

No. 13
The following is a DFT calculation (PBE-GGA) of a geometry-optimized Zn2I3 structure.

Cell: 4.122 4.125 24.642 Å, 90.02 91.22 119.93°
Space group P-1 (No. 2)
Inequivalent atoms, fractional coordinates:
Zn 0.008 0.006 0.048
Zn 0.248 0.631 0.654
I 0.074 0.031 0.280
I 0.315 0.656 0.891
I 0.430 0.707 0.412

## Properties
**Magnetic moment**: 0.00 μB per formula unit
**Electronic total energy**: -1.85 eV per atom
**Formation energy (no corrections)**: -0.412 eV/atom

***

No. 14
The following is a DFT calculation (PBE-GGA) of a geometry-optimized LiYO2F structure.

Cell: 4.389 4.389 4.435 Å, 90.00 90.00 90.00°
Space group P4/mmm (No. 123)
Inequivalent atoms, fractional coordinates:
Li 0.000 0.000 0.000
Y 0.500 0.500 0.500
O 0.000 0.500 0.500
F 0.500 0.500 0.000

## Properties
**Magnetic moment**: 1.00 μB per formula unit
**Fermi-level density of states**: 0.168 states/eV/atom
**Electronic total energy**: -6.37 eV per atom
**Formation energy (no corrections)**: -2.334 eV/atom

***

No. 15
The following is a DFT calculation (PBE-GGA) of a geometry-optimized MnSnIrRuPt structure.

Cell: 9.327 2.928 6.682 Å, 90.00 120.96 90.00°
Space group Cm (No. 8)
Inequivalent atoms, fractional coordinates:
Mn 0.000 0.000 0.000
Sn 0.320 0.500 0.230
Ir 0.116 0.500 0.407
Ru 0.411 0.000 0.637
Pt 0.204 0.000 0.818

## Properties
**Magnetic moment**: 3.51 μB per formula unit
**E above lowest polymorph**: 62 meV/atom
**Calculated formation energy**: -29 meV/atom
**Fermi-level density of states**: 0.903 states/eV/atom
**Electronic total energy**: -7.50 eV per atom

***

No. 16
The following is a DFT calculation (PBE-GGA) of a geometry-optimized Ti2Tl2O7 structure.

Cell: 10.265 10.265 10.265 Å, 90.00 90.00 90.00°
Space group Fd-3m (No. 227, origin choice 2)
Inequivalent atoms, fractional coordinates:
Ti 0.000 0.000 0.000
Tl 0.000 0.000 0.500
O 0.076 0.375 0.375
O 0.125 0.125 0.625

## Properties
**Magnetic moment**: 0.00 μB per formula unit
**Fermi-level density of states**: 0.171 states/eV/atom
**Electronic total energy**: -6.88 eV per atom
**Formation energy (no corrections)**: -1.863 eV/atom

***

No. 17
The following is a DFT calculation (PBE-GGA) of a geometry-optimized Zn2Sb2Pb structure.

Cell: 8.088 8.088 3.648 Å, 90.00 90.00 90.00°
Space group P4/mbm (No. 127)
Inequivalent atoms, fractional coordinates:
Zn 0.118 0.382 0.000
Sb 0.177 0.677 0.500
Pb 0.000 0.000 0.000

## Properties
**Magnetic moment**: 0.00 μB per formula unit
**Fermi-level density of states**: 0.537 states/eV/atom
**Electronic total energy**: -2.78 eV per atom
**Formation energy (no corrections)**: 0.120 eV/atom

***

No. 18
The following is a DFT calculation (PBE-GGA) of a geometry-optimized DyCuRh structure.

Cell: 4.204 9.669 5.352 Å, 90.00 90.00 90.00°
Space group Cmcm (No. 63)
Inequivalent atoms, fractional coordinates:
Dy 0.000 0.201 0.250
Cu 0.000 0.500 0.000
Rh 0.000 0.092 0.750

## Properties
**Magnetic moment**: 0.00 μB per formula unit
**E above lowest polymorph**: 0 meV/atom
**Calculated formation energy**: -566 meV/atom
**Fermi-level density of states**: 0.430 states/eV/atom
**Electronic total energy**: -5.92 eV per atom

***

No. 19
The following is a DFT calculation (PBE-GGA) of a geometry-optimized RbSb2Se structure.

Cell: 5.595 5.648 10.983 Å, 85.07 84.84 70.60°
Space group P1 (No. 1)
Inequivalent atoms, fractional coordinates:
Rb 0.000 0.000 0.000
Rb 0.313 0.330 0.276
Sb 0.021 0.015 0.534
Sb 0.301 0.304 0.741
Sb 0.597 0.505 0.555
Sb 0.811 0.727 0.720
Se 0.390 0.396 0.956
Se 0.920 0.937 0.320

## Properties
**Magnetic moment**: 0.00 μB per formula unit
**Electronic total energy**: -3.64 eV per atom
**Formation energy (no corrections)**: -0.463 eV/atom

***

No. 20
The following is a DFT calculation (PBE-GGA) of a geometry-optimized LiCu4Ge structure.

Cell: 4.263 18.627 4.210 Å, 90.00 90.00 90.00°
Space group Cmc2_1 (No. 36)
Inequivalent atoms, fractional coordinates:
Li 0.000 0.095 0.000
Cu 0.000 0.178 0.500
Cu 0.000 0.251 0.000
Cu 0.000 0.325 0.501
Cu 0.000 0.468 0.504
Ge 0.000 0.399 0.003

## Properties
**Magnetic moment**: 0.00 μB per formula unit
**E above lowest polymorph**: 0 meV/atom
**Calculated formation energy**: -26 meV/atom
**Fermi-level density of states**: 0.492 states/eV/atom
**Electronic total energy**: -3.85 eV per atom